No. 1
Compound: HgSb2Cl
Source: Alexandria via LeMat-Bulk
Functional: SCAN
Structure: PBEsol geometry

POSCAR file:
```
HgSb2Cl
1.0
-0.3189 -2.5476 2.1903
2.8564 1.5636 2.2345
-5.0541 3.8632 3.7575
Sb Hg Cl
2 1 1
direct
0.0000 0.0000 0.7170 Sb
0.0000 0.0000 0.2830 Sb
0.5000 0.5000 0.5000 Hg
0.5000 0.5000 0.0000 Cl
```

Properties
- Offset from the most stable computed form: 214 meV per atom
- Crystal system: orthorhombic



No. 2
Compound: Hg2SbCl
Source: Alexandria via LeMat-Bulk
Functional: SCAN
Structure: PBEsol geometry

POSCAR file:
```
Hg2SbCl
1.0
-0.9166 1.9072 -2.4821
-5.3868 -0.8363 1.3466
3.2903 3.5754 3.6752
Sb Hg Cl
1 2 1
direct
0.4996 0.4996 0.9991 Sb
0.0073 0.0073 0.0146 Hg
0.7543 0.2543 0.5087 Hg
0.2388 0.7388 0.4776 Cl
```

Properties
- Offset from the most stable computed form: 181 meV per atom
- Crystal system: orthorhombic



No. 3
Compound: Hg2SbCl
Source: Alexandria via LeMat-Bulk
Functional: SCAN
Structure: PBEsol geometry

POSCAR file:
```
Hg2SbCl
1.0
-2.5157 2.3195 -0.6122
-3.1761 -1.0802 -0.9106
-4.3094 0.1117 8.2635
Sb Hg Cl
1 2 1
direct
0.4958 0.4958 0.5127 Sb
0.9985 0.9985 0.0046 Hg
0.7442 0.7442 0.7673 Hg
0.2615 0.2615 0.2155 Cl
```

Properties
- Offset from the most stable computed form: 153 meV per atom
- Crystal system: trigonal



No. 4
Compound: Hg2SbCl
Source: Alexandria via LeMat-Bulk
Functional: SCAN
Structure: PBEsol geometry

POSCAR file:
```
Hg2SbCl
1.0
4.0513 0.0000 0.0000
0.0000 4.1715 0.1469
-2.0257 -1.8006 7.0634
Sb Hg Cl
1 2 1
direct
0.5043 0.5435 0.0086 Sb
0.0060 0.0472 0.0120 Hg
0.6890 0.8283 0.3779 Hg
0.3007 0.0810 0.6015 Cl
```

Properties
- Offset from the most stable computed form: 0 meV per atom
- Crystal system: monoclinic



No. 5
Compound: Hg2SbCl
Source: Alexandria via LeMat-Bulk
Functional: SCAN
Structure: PBEsol geometry

POSCAR file:
```
Hg2SbCl
1.0
3.4300 0.0951 0.0000
-1.3059 3.1731 0.0000
0.0000 0.0000 8.7297
Sb Hg Cl
1 2 1
direct
0.5000 0.5000 0.5000 Sb
0.0000 0.0000 0.2373 Hg
0.0000 0.0000 0.7627 Hg
0.5000 0.5000 0.0000 Cl
```

Properties
- Offset from the most stable computed form: 157 meV per atom
- Crystal system: orthorhombic



No. 6
Compound: HgSb2Cl
Source: Alexandria via LeMat-Bulk
Functional: SCAN
Structure: PBEsol geometry

POSCAR file:
```
HgSb2Cl
1.0
3.3158 0.0000 0.0000
0.0000 5.5970 0.0000
0.0000 0.0000 5.5810
Sb Hg Cl
2 1 1
direct
0.0000 0.8761 0.0000 Sb
0.5000 0.8710 0.5000 Sb
0.5000 0.3706 0.5000 Hg
0.0000 0.3822 0.0000 Cl
```

Properties
- Offset from the most stable computed form: 0 meV per atom
- Crystal system: orthorhombic



Q: Which value of offset from the most stable computed form does entry 5 give?
A: 157 meV per atom